Compound: Rb4Pm3TiTe8
Source: the Alexandria database
Functional: PBE-GGA
Structure: relaxed

Unit cell a=9.0503 b=10.0237 c=9.0508 alpha=116.85 beta=120.00 gamma=90.00
Each line ends with the local moment (μB).
Positions (direct):
Te 0.2204 0.6948 0.9745  -0.02
Te 0.2205 0.6949 0.4410  -0.02
Te 0.2642 0.2928 0.5284  0.00
Te 0.7541 0.6948 0.9745  -0.02
Te 0.2459 0.3052 0.0255  -0.02
Te 0.7796 0.3052 0.0255  -0.02
Te 0.7358 0.7072 0.4716  0.00
Te 0.7795 0.3051 0.5590  -0.02
Rb 0.0000 0.0000 0.0000  0.00
Rb 0.5000 0.0000 0.5000  0.00
Rb 0.0000 0.0000 0.5000  0.00
Rb 0.5000 0.0000 0.0000  0.00
Pm 0.0000 0.5000 0.5000  0.01
Pm 0.5000 0.5000 0.0000  0.01
Pm 0.5000 0.5000 0.5000  0.01
Ti 0.0000 0.5000 0.0000  0.91

## Properties
As for the uncorrected energy: -4.4218 eV per atom. As for the magnetic moment: 1.00 μB per cell. For the formation energy without anion corrections, the calculation gives -1225 meV per atom. The density of states at the Fermi level comes out at 6.02 states/eV/cell. As for the symmetry: R-3m, No. 166.